# 1
DFT (PBE) results for Ca5As2H after structural relaxation.

Computed properties:
E_tot   -27.20 eV per cell
Magnetization   0.000 μB/atom

Lattice parameters (Å, degrees): 6.540 6.540 6.540 116.73 116.73 95.76
Fractional positions:
1 Ca 0.000 0.000 0.000
2 Ca 0.005 0.005 0.503
3 Ca 0.005 0.501 0.000
4 Ca 0.501 0.005 0.000
5 Ca 0.501 0.501 0.497
6 As 0.000 0.500 0.500
7 As 0.500 0.000 0.500
8 H 0.749 0.749 0.000



# 2
DFT (PBE) results for CaAsH after structural relaxation.

Computed properties:
ΔE to the lowest computed polymorph   3.9 kJ per mole of atoms
Magnetization   0.000 μB/atom

Lattice parameters (Å, degrees): 6.165 6.100 6.262 90.00 90.00 90.00
Fractional positions:
1 Ca 0.239 0.250 0.008
2 Ca 0.261 0.750 0.508
3 Ca 0.739 0.250 0.492
4 Ca 0.761 0.750 0.992
5 As 0.249 0.250 0.485
6 As 0.251 0.750 0.985
7 As 0.749 0.250 0.015
8 As 0.751 0.750 0.515
9 H 0.076 0.250 0.668
10 H 0.424 0.750 0.168
11 H 0.576 0.250 0.832
12 H 0.924 0.750 0.332



# 3
DFT (PBE) results for CaAsH after structural relaxation.

Computed properties:
ΔE to the lowest computed polymorph   7.7 kJ per mole of atoms
Magnetization   0.000 μB/atom

Lattice parameters (Å, degrees): 6.080 6.080 4.591 95.90 95.90 40.29
Fractional positions:
1 Ca 0.124 0.124 0.264
2 Ca 0.876 0.876 0.736
3 As 0.395 0.395 0.270
4 As 0.605 0.605 0.730
5 H 0.310 0.310 0.970
6 H 0.690 0.690 0.030